# KCr2FeF8

A relaxed structure of KCr2FeF8 (GGA+U, the Alexandria database).

Values from the calculation:
raw total energy	-5.650	eV/atom
calculated density	3.4	g/cm3
D(E_F)	0.4	states/eV/f.u.
total moment	0.917	μB per atom

Cell lengths 5.0676, 5.0412, 6.7216 Å; angles 89.99, 89.99, 87.18 degrees
Closest atoms and distances in Å follow each position.
Fractional positions:
F 0.7836 0.2200 0.7907  1 Cr 1.98, 1 Fe 2.07
F 0.6571 0.6616 0.5000  2 Cr 2.10, 1 F 2.33
F 0.6857 0.6899 0.0000  2 Cr 2.12, 1 Fe 2.29
F 0.3429 0.3384 0.5000  2 Cr 2.10, 1 F 2.33
F 0.2164 0.7801 0.7907  1 Cr 1.98, 1 Fe 2.07
F 0.7836 0.2199 0.2093  1 Cr 1.98, 1 Fe 2.07
F 0.3143 0.3101 0.0000  2 Cr 2.12, 1 Fe 2.29
F 0.2164 0.7800 0.2093  1 Cr 1.98, 1 Fe 2.07
Cr 0.5000 0.5000 0.2409  6 F 1.98-2.12
Cr 0.5000 0.5000 0.7591  6 F 1.98-2.12
Fe 0.0000 0.0000 0.0000  6 F 2.07-2.29
K 0.0000 0.0000 0.5000  6 F 2.48-2.49